Compound: Ac8SiRu2
Source: the Alexandria database
Functional: PBE
Structure: relaxed

Summary:
formation energy without anion corrections = -0.106 eV per atom
size of the total moment = 0.0 μB per cell

Cell: 7.3421 8.5227 8.5227 Å, 59.53 103.43 103.43°
With the nearest neighbours (Å) after each atom.
Atoms (fractional coordinates):
Ac1 0.2673 0.3761 0.8943  2 Ru 2.94-3.00, 1 Si 3.15
Ac2 0.7327 0.1057 0.6239  2 Ru 2.94-3.00, 1 Si 3.15
Ac3 0.2534 0.8649 0.8649  1 Si 3.07, 1 Ru 3.08
Ac4 0.7466 0.1351 0.1351  1 Si 3.07, 1 Ru 3.08
Ac5 0.2673 0.8943 0.3761  2 Ru 2.94-3.00, 1 Si 3.15
Ac6 0.7327 0.6239 0.1057  2 Ru 2.94-3.00, 1 Si 3.15
Ac7 0.7540 0.6160 0.6160  1 Ru 2.77
Ac8 0.2460 0.3840 0.3840  1 Ru 2.77
Si1 0.0000 0.0000 0.0000  6 Ac 3.07-3.15
Ru1 0.5207 0.7357 0.7357  6 Ac 2.77-3.08
Ru2 0.4793 0.2643 0.2643  6 Ac 2.77-3.08